(1)
Computed, not measured: a geometry-optimized MnPb3 structure at the GGA-PBE level of DFT.

Output
total DFT energy (no corrections)	-4.663	eV per atom
symmetry	No. 223
calculated volume	27.8	Å³/atom
DFT formation energy	0.41	eV per atom

```
MnPb3
1.0
6.059 0.000 0.000
0.000 6.059 0.000
0.000 0.000 6.059
Mn Pb
2 6
Direct
0.000 0.000 0.000 Mn
0.500 0.500 0.500 Mn
0.000 0.250 0.500 Pb
0.000 0.750 0.500 Pb
0.250 0.500 0.000 Pb
0.500 0.000 0.250 Pb
0.500 0.000 0.750 Pb
0.750 0.500 0.000 Pb
```


(2)
Computed, not measured: a geometry-optimized MnPb3 structure at the GGA-PBE level of DFT.

Output
total DFT energy (no corrections)	-4.715	eV per atom
symmetry	No. 63
calculated volume	27.8	Å³/atom
DFT formation energy	0.36	eV per atom

```
MnPb3
1.0
3.523 -5.927 0.000
3.523 5.927 0.000
0.000 0.000 5.323
Mn Pb
2 6
Direct
0.060 0.940 0.750 Mn
0.940 0.060 0.250 Mn
0.078 0.383 0.750 Pb
0.383 0.078 0.250 Pb
0.405 0.595 0.250 Pb
0.595 0.405 0.750 Pb
0.617 0.922 0.750 Pb
0.922 0.617 0.250 Pb
```


(3)
Computed, not measured: a geometry-optimized Mn2Pb structure at the GGA-PBE level of DFT.

Output
total DFT energy (no corrections)	-6.593	eV per atom
symmetry	No. 191
calculated volume	16.9	Å³/atom
DFT formation energy	0.76	eV per atom

```
Mn2Pb
1.0
3.752 0.000 0.000
-1.876 3.249 0.000
0.000 0.000 4.166
Mn Pb
2 1
Direct
0.333 0.667 0.000 Mn
0.667 0.333 0.000 Mn
0.000 0.000 0.500 Pb
```


(4)
Computed, not measured: a geometry-optimized MnPb3 structure at the GGA-PBE level of DFT.

Output
total DFT energy (no corrections)	-4.786	eV per atom
symmetry	No. 44
calculated volume	27.1	Å³/atom
DFT formation energy	0.29	eV per atom

```
MnPb3
1.0
-1.724 4.721 3.331
1.724 -4.721 3.331
1.724 4.721 -3.331
Mn Pb
1 3
Direct
0.000 0.000 0.000 Mn
0.052 0.746 0.306 Pb
0.440 0.746 0.694 Pb
0.654 0.154 0.500 Pb
```